(1)
LaNi3: PBEsol geometry, meta-GGA SCAN.

Geometry as POSCAR:
```
LaNi3
1.0
4.025 0.000 0.000
0.000 6.280 0.000
0.000 0.000 5.149
La Ni
2 6
Cartesian
1.006 1.570 0.646
3.019 4.710 4.503
1.006 0.345 3.129
1.006 2.795 3.129
1.006 4.710 1.716
3.019 1.570 3.433
3.019 3.486 2.020
3.019 5.935 2.020
```

Values from the calculation:
- calculated volume (Å³ per cell) = 130
- calculated total energy (eV per cell) = -185.13

***

(2)
PdC3Br: PBEsol geometry, meta-GGA SCAN.

Geometry as POSCAR:
```
PdC3Br
1.0
3.842 0.000 0.000
0.000 3.842 0.000
0.000 0.000 3.842
Pd C Br
1 3 1
Cartesian
0.000 0.000 0.000
0.000 1.921 1.921
1.921 0.000 1.921
1.921 1.921 0.000
1.921 1.921 1.921
```

Values from the calculation:
- calculated volume (Å³ per cell) = 57
- raw formation energy (eV per atom) = 3.630
- calculated total energy (eV per cell) = -64.38